The following is a PBE-GGA calculation of a relaxed Na2ZrNb crystal, from Alexandria.

Computed properties:
**Energy relative to the lowest polymorph listed for this composition**: 0.000 eV/f.u.
**DFT formation energy**: 1.116 eV per atom
**Magnetization**: 0.7 μB per formula unit
**DOS(E_F)**: 3.9 states/eV/f.u.

```
data_Na2ZrNb
_chemical_formula_sum 'Na8 Zr4 Nb4'
_cell_length_a 8.533
_cell_length_b 8.533
_cell_length_c 5.278
_cell_angle_alpha 90.00
_cell_angle_beta 90.00
_cell_angle_gamma 90.00
_symmetry_space_group_name_H-M 'I -4 2 d'
_symmetry_Int_Tables_number 122
_symmetry_space_group_name_Hall 'I -4 2bw'
loop_
_atom_site_label
_atom_site_type_symbol
_atom_site_fract_x
_atom_site_fract_y
_atom_site_fract_z
Na1 Na 0.241 0.750 0.125
Zr1 Zr 0.000 0.000 0.500
Nb1 Nb 0.000 0.000 0.000
```